Entry 1:
The following is a SCAN calculation of Al2NiH at its PBEsol-relaxed geometry, from the Alexandria database.

```
data_Al2NiH
_chemical_formula_sum 'Al8 Ni4 H4'
_cell_length_a 4.671
_cell_length_b 4.671
_cell_length_c 9.530
_cell_angle_alpha 90.00
_cell_angle_beta 90.00
_cell_angle_gamma 90.00
_symmetry_space_group_name_H-M 'I -4 2 d'
_symmetry_Int_Tables_number 122
_symmetry_space_group_name_Hall 'I -4 2bw'
loop_
_atom_site_label
_atom_site_type_symbol
_atom_site_fract_x
_atom_site_fract_y
_atom_site_fract_z
Al1 Al 0.159 0.250 0.125
Ni1 Ni 0.000 0.000 0.500
H1 H 0.000 0.000 0.000
```

Entry 2:
The following is a SCAN calculation of PbCBr2 at its PBEsol-relaxed geometry, from the Alexandria database.

```
data_PbCBr2
_chemical_formula_sum 'Pb3 C3 Br6'
_cell_length_a 3.4828
_cell_length_b 3.4828
_cell_length_c 26.9421
_cell_angle_alpha 90.00
_cell_angle_beta 90.00
_cell_angle_gamma 120.00
_symmetry_space_group_name_H-M 'R -3 m'
_symmetry_Int_Tables_number 166
_symmetry_space_group_name_Hall '-R 3 2"'
loop_
_atom_site_label
_atom_site_type_symbol
_atom_site_fract_x
_atom_site_fract_y
_atom_site_fract_z
Pb1 Pb 0.0000 0.0000 0.0000
C1 C 0.0000 0.0000 0.5000
Br1 Br 0.0000 0.0000 0.1147
```

Calculated values
ΔE_f (raw) ... 1.221 eV per atom

Entry 3:
The following is a SCAN calculation of CaMgCu2 at its PBEsol-relaxed geometry, from the Alexandria database.

```
data_CaMgCu2
_chemical_formula_sum 'Ca2 Mg2 Cu4'
_cell_length_a 4.043
_cell_length_b 3.677
_cell_length_c 10.326
_cell_angle_alpha 90.00
_cell_angle_beta 90.00
_cell_angle_gamma 90.00
_symmetry_space_group_name_H-M 'A m m 2'
_symmetry_Int_Tables_number 38
loop_
_symmetry_equiv_pos_as_xyz
'x,y,z'
'-x,-y,z'
'-x,y,z'
'x,-y,z'
'x,y+1/2,z+1/2'
'-x,-y+1/2,z+1/2'
'-x,y+1/2,z+1/2'
'x,-y+1/2,z+1/2'
loop_
_atom_site_label
_atom_site_type_symbol
_atom_site_fract_x
_atom_site_fract_y
_atom_site_fract_z
Ca1 Ca 0.000 0.000 0.000
Mg1 Mg 0.500 0.000 0.706
Cu1 Cu 0.000 0.000 0.278
Cu2 Cu 0.500 0.000 0.405
```

Calculated values
Energy relative to the elements ... -0.080 eV/atom

Entry 4:
The following is a SCAN calculation of LaMg2P at its PBEsol-relaxed geometry, from the Alexandria database.

```
data_LaMg2P
_chemical_formula_sum 'La1 Mg2 P1'
_cell_length_a 3.446
_cell_length_b 3.446
_cell_length_c 7.667
_cell_angle_alpha 90.00
_cell_angle_beta 90.00
_cell_angle_gamma 90.00
_symmetry_space_group_name_H-M 'P 4/m m m'
_symmetry_Int_Tables_number 123
_symmetry_space_group_name_Hall '-P 4 2'
loop_
_atom_site_label
_atom_site_type_symbol
_atom_site_fract_x
_atom_site_fract_y
_atom_site_fract_z
La1 La 0.000 0.000 0.000
Mg1 Mg 0.500 0.500 0.319
P1 P 0.000 0.000 0.500
```

Calculated values
Energy relative to the elements ... -0.253 eV/atom

Entry 5:
The following is a SCAN calculation of PPdPtO2 at its PBEsol-relaxed geometry, from the Alexandria database.

```
data_PPdPtO2
_chemical_formula_sum 'P1 Pd1 Pt1 O2'
_cell_length_a 3.677
_cell_length_b 3.677
_cell_length_c 5.414
_cell_angle_alpha 90.00
_cell_angle_beta 90.00
_cell_angle_gamma 90.00
_symmetry_space_group_name_H-M 'P 4/m m m'
_symmetry_Int_Tables_number 123
_symmetry_space_group_name_Hall '-P 4 2'
loop_
_atom_site_label
_atom_site_type_symbol
_atom_site_fract_x
_atom_site_fract_y
_atom_site_fract_z
P1 P 0.000 0.000 0.000
Pd1 Pd 0.500 0.500 0.000
Pt1 Pt 0.000 0.000 0.500
O1 O 0.000 0.500 0.500
```

Calculated values
ΔE_f (raw) ... 0.167 eV per atom

Entry 6:
The following is a SCAN calculation of In2MoIr at its PBEsol-relaxed geometry, from the Alexandria database.

```
data_In2MoIr
_chemical_formula_sum 'In6 Mo3 Ir3'
_cell_length_a 2.9650
_cell_length_b 2.9650
_cell_length_c 27.2261
_cell_angle_alpha 90.00
_cell_angle_beta 90.00
_cell_angle_gamma 120.00
_symmetry_space_group_name_H-M 'R -3 m'
_symmetry_Int_Tables_number 166
_symmetry_space_group_name_Hall '-R 3 2"'
loop_
_atom_site_label
_atom_site_type_symbol
_atom_site_fract_x
_atom_site_fract_y
_atom_site_fract_z
In1 In 0.0000 0.0000 0.2475
Mo1 Mo 0.0000 0.0000 0.0000
Ir1 Ir 0.0000 0.0000 0.5000
```

Calculated values
Energy relative to the elements ... 0.308 eV/atom

Entry 7:
The following is a SCAN calculation of LiCeSn at its PBEsol-relaxed geometry, from the Alexandria database.

```
data_LiCeSn
_chemical_formula_sum 'Li8 Ce8 Sn8'
_cell_length_a 9.5577
_cell_length_b 9.5577
_cell_length_c 7.1470
_cell_angle_alpha 90.00
_cell_angle_beta 90.00
_cell_angle_gamma 120.00
_symmetry_space_group_name_H-M 'P 63 m c'
_symmetry_Int_Tables_number 186
_symmetry_space_group_name_Hall 'P 6c -2c'
loop_
_atom_site_label
_atom_site_type_symbol
_atom_site_fract_x
_atom_site_fract_y
_atom_site_fract_z
Li1 Li 0.1667 0.3334 0.0000
Li2 Li 0.3333 0.6667 0.5704
Ce1 Ce 0.0000 0.0000 0.2742
Ce2 Ce 0.0115 0.5058 0.2751
Sn1 Sn 0.1666 0.3333 0.5344
Sn2 Sn 0.3333 0.6667 0.0107
```

Calculated values
Energy relative to the elements ... -0.619 eV/atom

Entry 8:
The following is a SCAN calculation of LaAl2Ni at its PBEsol-relaxed geometry, from the Alexandria database.

```
data_LaAl2Ni
_chemical_formula_sum 'La1 Al2 Ni1'
_cell_length_a 3.162
_cell_length_b 3.162
_cell_length_c 7.222
_cell_angle_alpha 90.00
_cell_angle_beta 90.00
_cell_angle_gamma 90.00
_symmetry_space_group_name_H-M 'P 4 m m'
_symmetry_Int_Tables_number 99
loop_
_symmetry_equiv_pos_as_xyz
'x,y,z'
'-y,x,z'
'-x,-y,z'
'y,-x,z'
'-x,y,z'
'y,x,z'
'x,-y,z'
'-y,-x,z'
loop_
_atom_site_label
_atom_site_type_symbol
_atom_site_fract_x
_atom_site_fract_y
_atom_site_fract_z
La1 La 0.000 0.000 0.000
Al1 Al 0.000 0.000 0.440
Al2 Al 0.500 0.500 0.669
Ni1 Ni 0.500 0.500 0.302
```

Calculated values
Energy relative to the elements ... -0.338 eV/atom

Entry 9:
The following is a SCAN calculation of Ca2AlTe at its PBEsol-relaxed geometry, from the Alexandria database.

```
data_Ca2AlTe
_chemical_formula_sum 'Ca4 Al2 Te2'
_cell_length_a 6.776
_cell_length_b 8.452
_cell_length_c 3.749
_cell_angle_alpha 90.00
_cell_angle_beta 90.00
_cell_angle_gamma 90.00
_symmetry_space_group_name_H-M 'C m m m'
_symmetry_Int_Tables_number 65
_symmetry_space_group_name_Hall '-C 2 2'
loop_
_atom_site_label
_atom_site_type_symbol
_atom_site_fract_x
_atom_site_fract_y
_atom_site_fract_z
Ca1 Ca 0.250 0.250 0.000
Al1 Al 0.000 0.000 0.500
Te1 Te 0.000 0.500 0.500
```

Calculated values
ΔE_f (raw) ... -0.675 eV per atom

Entry 10:
The following is a SCAN calculation of Cs2ZnSb at its PBEsol-relaxed geometry, from the Alexandria database.

```
data_Cs2ZnSb
_chemical_formula_sum 'Cs8 Zn4 Sb4'
_cell_length_a 5.162
_cell_length_b 5.162
_cell_length_c 24.524
_cell_angle_alpha 90.00
_cell_angle_beta 90.00
_cell_angle_gamma 90.00
_symmetry_space_group_name_H-M 'I -4 2 d'
_symmetry_Int_Tables_number 122
_symmetry_space_group_name_Hall 'I -4 2bw'
loop_
_atom_site_label
_atom_site_type_symbol
_atom_site_fract_x
_atom_site_fract_y
_atom_site_fract_z
Cs1 Cs 0.236 0.250 0.125
Zn1 Zn 0.000 0.000 0.000
Sb1 Sb 0.000 0.000 0.500
```

Calculated values
ΔE_f (raw) ... 0.260 eV per atom

Entry 11:
The following is a SCAN calculation of CuPPb2SO9 at its PBEsol-relaxed geometry, from the Alexandria database.

```
data_CuPPb2SO9
_chemical_formula_sum 'Cu2 P2 Pb4 S2 O18'
_cell_length_a 8.298
_cell_length_b 5.586
_cell_length_c 8.394
_cell_angle_alpha 90.00
_cell_angle_beta 111.34
_cell_angle_gamma 90.00
_symmetry_space_group_name_H-M 'P 1 21/m 1'
_symmetry_Int_Tables_number 11
loop_
_symmetry_equiv_pos_as_xyz
'x,y,z'
'-x,-y,-z'
'-x,y+1/2,-z'
'x,-y+1/2,z'
loop_
_atom_site_label
_atom_site_type_symbol
_atom_site_fract_x
_atom_site_fract_y
_atom_site_fract_z
Cu1 Cu 0.000 0.000 0.000
P1 P 0.015 0.250 0.330
Pb1 Pb 0.272 0.750 0.380
Pb2 Pb 0.292 0.250 0.763
S1 S 0.451 0.250 0.189
O1 O 0.018 0.517 0.784
O2 O 0.114 0.750 0.580
O3 O 0.145 0.750 0.073
O4 O 0.207 0.250 0.450
O5 O 0.264 0.250 0.087
O6 O 0.447 0.750 0.924
O7 O 0.498 0.033 0.303
```

Calculated values
ΔE_f (raw) ... -1.642 eV per atom

Entry 12:
The following is a SCAN calculation of BePt3Br at its PBEsol-relaxed geometry, from the Alexandria database.

```
data_BePt3Br
_chemical_formula_sum 'Be1 Pt3 Br1'
_cell_length_a 4.285
_cell_length_b 4.285
_cell_length_c 4.285
_cell_angle_alpha 90.00
_cell_angle_beta 90.00
_cell_angle_gamma 90.00
_symmetry_space_group_name_H-M 'P m -3 m'
_symmetry_Int_Tables_number 221
_symmetry_space_group_name_Hall '-P 4 2 3'
loop_
_atom_site_label
_atom_site_type_symbol
_atom_site_fract_x
_atom_site_fract_y
_atom_site_fract_z
Be1 Be 0.000 0.000 0.000
Pt1 Pt 0.000 0.000 0.500
Br1 Br 0.500 0.500 0.500
```

Calculated values
ΔE_f (raw) ... 0.528 eV per atom

Going through the records in order, we get electronic total energy values of -8.51 -29.98 -11.34 -16.12 -25.00 -42.88 -28.24 -19.03 -16.76 -31.34 -18.99 -46.35 eV per atom.